(1)
Entry from Alexandria via LeMat-Bulk: crystalline NiAgW2 at its relaxed geometry (PBE-GGA).

* calculated formation energy: 0.474 eV per atom
* Fermi-level density of states: 3.96 states/eV/f.u.

Cell lengths 5.205, 5.205, 5.205 Å; angles 144.16, 132.00, 61.33 degrees
Fractional coordinates of all 4 atoms:
Ni (0.250, 0.750, 0.500)
W (0.486, 0.486, 0.000)
W (0.014, 0.014, 0.000)
Ag (0.750, 0.250, 0.500)

---

(2)
Entry from Alexandria via LeMat-Bulk: crystalline Pm2EuP at its relaxed geometry (PBE-GGA).

* calculated formation energy: -0.700 eV per atom
* Fermi-level density of states: 3.83 states/eV/f.u.

Cell lengths 3.974, 3.974, 10.130 Å; angles 78.69, 78.69, 60.00 degrees
Site moments in Bohr magnetons follow the coordinates.
Fractional coordinates of all 4 atoms:
Pm (0.722, 0.722, 0.834)  0.06
Pm (0.278, 0.278, 0.166)  0.06
P (0.000, 0.000, 0.000)  0.01
Eu (0.500, 0.500, 0.500)  7.02

---

(3)
Entry from Alexandria via LeMat-Bulk: crystalline ErHfCd4 at its relaxed geometry (PBE-GGA).

* calculated formation energy: -0.022 eV per atom
* Fermi-level density of states: 5.57 states/eV/f.u.

Cell lengths 5.762, 5.762, 5.762 Å; angles 60.00, 60.00, 60.00 degrees
Site moments in Bohr magnetons follow the coordinates.
Fractional coordinates of all 6 atoms:
Cd (0.625, 0.124, 0.625)  0.02
Cd (0.625, 0.625, 0.124)  0.02
Cd (0.625, 0.625, 0.625)  0.02
Cd (0.124, 0.625, 0.625)  0.02
Er (0.250, 0.250, 0.250)  0.44
Hf (0.000, 0.000, 0.000)  0.64

---

(4)
Entry from Alexandria via LeMat-Bulk: crystalline PuThPd2 at its relaxed geometry (PBE-GGA).

* calculated formation energy: -0.528 eV per atom
* Fermi-level density of states: 11.78 states/eV/f.u.

Cell lengths 3.465, 5.145, 5.145 Å; angles 90.00, 90.00, 90.00 degrees
Site moments in Bohr magnetons follow the coordinates.
Fractional coordinates of all 4 atoms:
Pu (0.500, 0.000, 0.000)  5.38
Pd (0.000, 0.000, 0.500)  -0.01
Pd (0.000, 0.500, 0.000)  -0.01
Th (0.500, 0.500, 0.500)  0.08